Density functional theory data (PBE) for a geometry-optimized BiAsIr2 structure.

**Distance to the lowest polymorph of the same formula**: 19.98 kJ per mole of atoms
**Crystal system**: cubic
**Magnetic moment**: 0.000 μB/f.u.

Geometry as CIF:
```
data_BiAsIr2
_cell_length_a 6.631
_cell_length_b 6.631
_cell_length_c 6.631
_cell_angle_alpha 90.00
_cell_angle_beta 90.00
_cell_angle_gamma 90.00
_symmetry_space_group_name_H-M 'F m -3 m'
_symmetry_Int_Tables_number 225
_symmetry_space_group_name_Hall '-F 4 2 3'
loop_
_atom_site_label
_atom_site_fract_x
_atom_site_fract_y
_atom_site_fract_z
Bi1 0.000 0.000 0.000
As1 0.000 0.000 0.500
Ir1 0.250 0.250 0.250
```


Density functional theory data (PBE) for a geometry-optimized BiAsIr2 structure.

**Distance to the lowest polymorph of the same formula**: 0.00 kJ per mole of atoms
**Crystal system**: tetragonal
**Magnetic moment**: 0.000 μB/f.u.

Geometry as CIF:
```
data_BiAsIr2
_cell_length_a 5.409
_cell_length_b 5.409
_cell_length_c 13.097
_cell_angle_alpha 90.00
_cell_angle_beta 90.00
_cell_angle_gamma 90.00
_symmetry_space_group_name_H-M 'I -4 2 d'
_symmetry_Int_Tables_number 122
_symmetry_space_group_name_Hall 'I -4 2bw'
loop_
_atom_site_label
_atom_site_fract_x
_atom_site_fract_y
_atom_site_fract_z
Bi1 0.000 0.000 0.000
As1 0.000 0.000 0.500
Ir1 0.194 0.250 0.625
```


Density functional theory data (PBE) for a geometry-optimized BiAsIr3 structure.

**Distance to the lowest polymorph of the same formula**: 0.00 kJ per mole of atoms
**Crystal system**: cubic
**Magnetic moment**: 0.929 μB/f.u.

Geometry as CIF:
```
data_BiAsIr3
_cell_length_a 4.657
_cell_length_b 4.657
_cell_length_c 4.657
_cell_angle_alpha 90.00
_cell_angle_beta 90.00
_cell_angle_gamma 90.00
_symmetry_space_group_name_H-M 'P m -3 m'
_symmetry_Int_Tables_number 221
_symmetry_space_group_name_Hall '-P 4 2 3'
loop_
_atom_site_label
_atom_site_fract_x
_atom_site_fract_y
_atom_site_fract_z
Bi1 0.000 0.000 0.000
As1 0.500 0.500 0.500
Ir1 0.000 0.500 0.500
```


Density functional theory data (PBE) for a geometry-optimized La2BiAs3Ir4 structure.

**Crystal system**: tetragonal
**VASP energy**: -6.94 eV per atom
**Magnetic moment**: 0.000 μB/f.u.

Geometry as CIF:
```
data_La2BiAs3Ir4
_cell_length_a 4.238
_cell_length_b 4.238
_cell_length_c 11.248
_cell_angle_alpha 90.00
_cell_angle_beta 90.00
_cell_angle_gamma 90.00
_symmetry_space_group_name_H-M 'P -4 m 2'
_symmetry_Int_Tables_number 115
loop_
_symmetry_equiv_pos_as_xyz
'x,y,z'
'y,-x,-z'
'-x,-y,z'
'-y,x,-z'
'-x,y,z'
'-y,-x,-z'
'x,-y,z'
'y,x,-z'
loop_
_atom_site_label
_atom_site_fract_x
_atom_site_fract_y
_atom_site_fract_z
La1 0.000 0.500 0.236
Bi1 0.000 0.000 0.500
As1 0.000 0.500 0.873
As2 0.500 0.500 0.500
Ir1 0.000 0.000 0.000
Ir2 0.000 0.500 0.660
Ir3 0.500 0.500 0.000
```


Density functional theory data (PBE) for a geometry-optimized Mg2BiAsIr structure.

**Crystal system**: tetragonal
**VASP energy**: -3.46 eV per atom
**Magnetic moment**: 0.000 μB/f.u.

Geometry as CIF:
```
data_Mg2BiAsIr
_cell_length_a 4.732
_cell_length_b 4.732
_cell_length_c 5.662
_cell_angle_alpha 90.00
_cell_angle_beta 90.00
_cell_angle_gamma 90.00
_symmetry_space_group_name_H-M 'P 4/m m m'
_symmetry_Int_Tables_number 123
_symmetry_space_group_name_Hall '-P 4 2'
loop_
_atom_site_label
_atom_site_fract_x
_atom_site_fract_y
_atom_site_fract_z
Mg1 0.000 0.500 0.000
Bi1 0.000 0.000 0.500
As1 0.000 0.000 0.000
Ir1 0.500 0.500 0.500
```


Density functional theory data (PBE) for a geometry-optimized BiAsP2Ir structure.

**Crystal system**: tetragonal
**VASP energy**: -5.19 eV per atom
**Magnetic moment**: 0.000 μB/f.u.

Geometry as CIF:
```
data_BiAsP2Ir
_cell_length_a 4.492
_cell_length_b 4.492
_cell_length_c 5.572
_cell_angle_alpha 90.00
_cell_angle_beta 90.00
_cell_angle_gamma 90.00
_symmetry_space_group_name_H-M 'P 4/m m m'
_symmetry_Int_Tables_number 123
_symmetry_space_group_name_Hall '-P 4 2'
loop_
_atom_site_label
_atom_site_fract_x
_atom_site_fract_y
_atom_site_fract_z
Bi1 0.000 0.000 0.000
As1 0.500 0.500 0.000
P1 0.000 0.500 0.500
Ir1 0.500 0.500 0.500
```


Density functional theory data (PBE) for a geometry-optimized BiAsIr2Pd structure.

**Crystal system**: tetragonal
**VASP energy**: -4.63 eV per atom
**Magnetic moment**: 0.000 μB/f.u.

Geometry as CIF:
```
data_BiAsIr2Pd
_cell_length_a 4.988
_cell_length_b 4.988
_cell_length_c 4.972
_cell_angle_alpha 90.00
_cell_angle_beta 90.00
_cell_angle_gamma 90.00
_symmetry_space_group_name_H-M 'P 4/m m m'
_symmetry_Int_Tables_number 123
_symmetry_space_group_name_Hall '-P 4 2'
loop_
_atom_site_label
_atom_site_fract_x
_atom_site_fract_y
_atom_site_fract_z
Bi1 0.000 0.000 0.000
As1 0.500 0.500 0.500
Ir1 0.000 0.500 0.000
Pd1 0.000 0.000 0.500
```


Density functional theory data (PBE) for a geometry-optimized Bi2AsIrRh structure.

**Crystal system**: tetragonal
**VASP energy**: -4.64 eV per atom
**Magnetic moment**: 0.761 μB/f.u.

Geometry as CIF:
```
data_Bi2AsIrRh
_cell_length_a 5.486
_cell_length_b 5.486
_cell_length_c 4.483
_cell_angle_alpha 90.00
_cell_angle_beta 90.00
_cell_angle_gamma 90.00
_symmetry_space_group_name_H-M 'P 4/m m m'
_symmetry_Int_Tables_number 123
_symmetry_space_group_name_Hall '-P 4 2'
loop_
_atom_site_label
_atom_site_fract_x
_atom_site_fract_y
_atom_site_fract_z
Bi1 0.000 0.500 0.000
As1 0.000 0.000 0.000
Ir1 0.000 0.000 0.500
Rh1 0.500 0.500 0.500
```